No. 1
Ca2InSb2Rh5 | GGA-PBE | optimized geometry

```
Ca2InSb2Rh5
1.0
10.2135 0.0000 0.0000
0.0000 10.2135 0.0000
0.0000 0.0000 3.7128
Ca In Sb Rh
4 2 4 10
Cartesian
1.7441 3.3627 0.0000 Ca
3.3627 8.4694 0.0000 Ca
6.8508 1.7441 0.0000 Ca
8.4694 6.8508 0.0000 Ca
0.0000 0.0000 0.0000 In
5.1068 5.1068 0.0000 In
1.3141 6.4208 0.0000 Sb
3.7927 1.3141 0.0000 Sb
6.4208 8.8995 0.0000 Sb
8.8995 3.7927 0.0000 Sb
0.0000 5.1068 1.8564 Rh
0.6684 8.1462 1.8564 Rh
2.0673 0.6684 1.8564 Rh
3.0395 5.7751 1.8564 Rh
4.4384 3.0395 1.8564 Rh
5.1068 0.0000 1.8564 Rh
5.7751 7.1741 1.8564 Rh
7.1741 4.4384 1.8564 Rh
8.1462 9.5452 1.8564 Rh
9.5452 2.0673 1.8564 Rh
```

Properties
Total energy = -5.677 eV per atom
Symmetry = P4/mbm (127)
Crystal system = tetragonal



No. 2
Ca2InSb3Rh4 | GGA-PBE | optimized geometry

```
Ca2InSb3Rh4
1.0
4.3934 0.0000 0.0000
0.0000 4.3934 0.0000
0.0000 0.0000 11.1259
Ca In Sb Rh
2 1 3 4
Cartesian
0.0000 2.1967 2.7642 Ca
2.1967 0.0000 8.3617 Ca
0.0000 0.0000 5.5630 In
0.0000 2.1967 9.6553 Sb
2.1967 0.0000 1.4706 Sb
2.1967 2.1967 5.5630 Sb
0.0000 0.0000 0.0000 Rh
0.0000 2.1967 7.0980 Rh
2.1967 0.0000 4.0279 Rh
2.1967 2.1967 0.0000 Rh
```

Properties
Total energy = -5.506 eV per atom
Symmetry = P-4m2 (115)
Crystal system = tetragonal